# 1
Ta2O5: PBEsol geometry, meta-GGA SCAN.

Computed properties:
**Density**: 7.59 Mg/m³
**Calculated total energy**: -26.50 eV/atom
**Space group**: Pmmn, No. 59

abc: 3.844 3.867 13.013
angles: 90.00 90.00 90.00
Atoms (fractional coordinates):
O1 0.500 0.001 0.815
O2 0.500 0.496 0.350
O3 0.500 0.997 0.500
O4 0.500 0.496 0.650
O5 0.000 0.999 0.685
O6 0.000 0.999 0.315
O7 0.000 0.504 0.150
O8 0.000 0.003 0.000
O9 0.000 0.504 0.850
O10 0.500 0.001 0.185
Ta1 0.000 0.011 0.854
Ta2 0.000 0.011 0.146
Ta3 0.500 0.989 0.646
Ta4 0.500 0.989 0.354

# 2
Ta2O5: PBEsol geometry, meta-GGA SCAN.

Computed properties:
**Density**: 8.74 Mg/m³
**Calculated total energy**: -26.52 eV/atom
**Space group**: C2/c, No. 15

abc: 4.867 5.532 6.865
angles: 102.78 110.76 90.00
Atoms (fractional coordinates):
Ta1 0.895 0.269 0.281
Ta2 0.105 0.731 0.719
Ta3 0.386 0.769 0.281
Ta4 0.614 0.231 0.719
O1 0.101 0.750 0.000
O2 0.135 0.628 0.411
O3 0.559 0.478 0.221
O4 0.899 0.250 0.000
O5 0.338 0.022 0.779
O6 0.662 0.978 0.221
O7 0.865 0.372 0.589
O8 0.724 0.872 0.589
O9 0.441 0.522 0.779
O10 0.276 0.128 0.411

# 3
Ta3O8: PBEsol geometry, meta-GGA SCAN.

Computed properties:
**Density**: 7.52 Mg/m³
**Calculated total energy**: -25.50 eV/atom
**Space group**: Pmma, No. 51

abc: 3.887 9.042 16.847
angles: 90.00 90.00 90.00
Atoms (fractional coordinates):
O1 0.500 0.585 0.628
O2 0.000 0.536 0.750
O3 0.000 0.000 0.000
O4 0.500 0.177 0.937
O5 0.000 0.464 0.250
O6 0.000 0.203 0.168
O7 0.000 0.374 0.632
O8 0.500 0.823 0.063
O9 0.500 0.302 0.750
O10 0.500 0.415 0.372
O11 0.500 0.177 0.563
O12 0.000 0.797 0.832
O13 0.000 0.120 0.675
O14 0.000 0.203 0.332
O15 0.000 0.374 0.868
O16 0.000 0.626 0.132
O17 0.500 0.698 0.250
O18 0.000 0.880 0.175
O19 0.500 0.952 0.750
O20 0.000 0.668 0.522
O21 0.000 0.000 0.500
O22 0.000 0.626 0.368
O23 0.000 0.332 0.478
O24 0.000 0.668 0.978
O25 0.000 0.120 0.825
O26 0.000 0.332 0.022
O27 0.500 0.585 0.872
O28 0.500 0.823 0.437
O29 0.500 0.415 0.128
O30 0.000 0.880 0.325
O31 0.000 0.797 0.668
O32 0.500 0.048 0.250
Ta1 0.000 0.308 0.750
Ta2 0.000 0.692 0.250
Ta3 0.000 0.402 0.370
Ta4 0.000 0.815 0.441
Ta5 0.000 0.185 0.559
Ta6 0.000 0.059 0.250
Ta7 0.000 0.598 0.870
Ta8 0.000 0.402 0.130
Ta9 0.000 0.941 0.750
Ta10 0.000 0.185 0.941
Ta11 0.000 0.598 0.630
Ta12 0.000 0.815 0.059

# 4
Ta2O5: PBEsol geometry, meta-GGA SCAN.

Computed properties:
**Density**: 8.22 Mg/m³
**Calculated total energy**: -26.46 eV/atom
**Space group**: Cm, No. 8

abc: 6.967 7.214 7.153
angles: 62.55 90.00 61.14
Atoms (fractional coordinates):
O1 0.835 0.357 0.341
O2 0.749 0.530 0.715
O3 0.970 0.087 0.124
O4 0.195 0.637 0.679
O5 0.573 0.301 0.034
O6 0.599 0.220 0.711
O7 0.209 0.220 0.712
O8 0.153 0.301 0.034
O9 0.555 0.918 0.138
O10 0.396 0.698 0.350
O11 0.934 0.697 0.350
O12 0.314 0.400 0.293
O13 0.063 0.901 0.916
O14 0.865 0.701 0.970
O15 0.461 0.701 0.970
Ta1 0.238 0.553 0.974
Ta2 0.720 0.588 0.428
Ta3 0.777 0.001 0.015
Ta4 0.287 0.454 0.527
Ta5 0.785 0.457 0.022
Ta6 0.249 0.001 0.016

# 5
Ta2O5: PBEsol geometry, meta-GGA SCAN.

Computed properties:
**Density**: 5.88 Mg/m³
**Calculated total energy**: -26.37 eV/atom
**Space group**: C2/m, No. 12

abc: 5.441 5.440 5.513
angles: 107.94 116.62 103.51
Atoms (fractional coordinates):
O1 0.016 0.516 0.000
O2 0.824 0.925 0.718
O3 0.515 0.016 0.000
O4 0.015 0.515 0.500
O5 0.208 0.106 0.282
Ta1 0.116 0.797 0.882
Ta2 0.916 0.234 0.118

# 6
Ta2O5: PBEsol geometry, meta-GGA SCAN.

Computed properties:
**Density**: 6.05 Mg/m³
**Calculated total energy**: -26.41 eV/atom
**Space group**: Pbam, No. 55

abc: 3.569 5.701 11.922
angles: 90.00 90.00 90.00
Atoms (fractional coordinates):
O1 0.500 0.593 0.265
O2 0.000 0.729 0.113
O3 0.500 0.093 0.235
O4 0.000 0.229 0.387
O5 0.500 0.000 0.000
O6 0.500 0.407 0.735
O7 0.500 0.907 0.765
O8 0.500 0.500 0.500
O9 0.000 0.271 0.887
O10 0.000 0.771 0.613
Ta1 0.500 0.660 0.642
Ta2 0.500 0.840 0.142
Ta3 0.500 0.340 0.358
Ta4 0.500 0.160 0.858

# 7
Ta2O5: PBEsol geometry, meta-GGA SCAN.

Computed properties:
**Density**: 7.59 Mg/m³
**Calculated total energy**: -26.50 eV/atom
**Space group**: C2/m, No. 12

abc: 3.844 3.868 6.784
angles: 90.12 106.46 90.00
Atoms (fractional coordinates):
O1 0.150 0.504 0.299
O2 0.000 0.000 0.000
O3 0.850 0.496 0.701
O4 0.685 0.001 0.370
O5 0.315 0.999 0.630
Ta1 0.146 0.011 0.292
Ta2 0.854 0.989 0.708

# 8
TbTaO4: PBEsol geometry, meta-GGA SCAN.

Computed properties:
**Density**: 9.18 Mg/m³
**Calculated total energy**: -26.60 eV/atom
**Space group**: C2/c, No. 15

abc: 5.049 5.324 6.478
angles: 111.79 110.35 95.85
Atoms (fractional coordinates):
O1 0.443 0.728 0.939
O2 0.996 0.212 0.939
O3 0.792 0.633 0.579
O4 0.714 0.054 0.421
O5 0.004 0.788 0.061
O6 0.286 0.946 0.579
O7 0.557 0.272 0.061
O8 0.208 0.367 0.421
Ta1 0.150 0.900 0.800
Ta2 0.850 0.100 0.200
Tb1 0.382 0.632 0.264
Tb2 0.618 0.368 0.736

# 9
Tb3TaO7: PBEsol geometry, meta-GGA SCAN.

Computed properties:
**Density**: 8.96 Mg/m³
**Polymorph energy (0 for the lowest one)**: 22.5 meV per atom
**Space group**: Cmcm, No. 63

abc: 6.402 6.402 7.455
angles: 90.00 90.00 110.89
Atoms (fractional coordinates):
O1 0.582 0.582 0.250
O2 0.823 0.564 0.537
O3 0.177 0.436 0.463
O4 0.177 0.436 0.037
O5 0.418 0.418 0.750
O6 0.109 0.846 0.250
O7 0.564 0.823 0.963
O8 0.154 0.891 0.750
O9 0.564 0.823 0.537
O10 0.846 0.109 0.250
O11 0.891 0.154 0.750
O12 0.823 0.564 0.963
O13 0.436 0.177 0.463
O14 0.436 0.177 0.037
Ta1 0.500 0.500 0.000
Ta2 0.500 0.500 0.500
Tb1 0.481 0.937 0.250
Tb2 0.000 0.000 0.000
Tb3 0.937 0.481 0.250
Tb4 0.063 0.519 0.750
Tb5 0.000 0.000 0.500
Tb6 0.519 0.063 0.750

# 10
TbTaO4: PBEsol geometry, meta-GGA SCAN.

Computed properties:
**Density**: 9.08 Mg/m³
**Calculated total energy**: -26.58 eV/atom
**Space group**: P2_1/c, No. 14

abc: 5.296 7.473 7.541
angles: 98.12 90.00 90.00
Atoms (fractional coordinates):
O1 0.099 0.932 0.312
O2 0.372 0.167 0.564
O3 0.493 0.388 0.332
O4 0.599 0.068 0.188
O5 0.628 0.833 0.436
O6 0.993 0.612 0.168
O7 0.497 0.331 0.879
O8 0.507 0.612 0.668
O9 0.901 0.068 0.688
O10 0.503 0.669 0.121
O11 0.872 0.833 0.936
O12 0.128 0.167 0.064
O13 0.003 0.331 0.379
O14 0.997 0.669 0.621
O15 0.007 0.388 0.832
O16 0.401 0.932 0.812
Ta1 0.772 0.836 0.188
Ta2 0.728 0.836 0.688
Ta3 0.272 0.164 0.312
Ta4 0.228 0.164 0.812
Tb1 0.222 0.645 0.892
Tb2 0.278 0.645 0.392
Tb3 0.722 0.355 0.608
Tb4 0.778 0.355 0.108

# 11
TbTaO4: PBEsol geometry, meta-GGA SCAN.

Computed properties:
**Density**: 9.17 Mg/m³
**Calculated total energy**: -26.60 eV/atom
**Space group**: P2/c, No. 13

abc: 5.118 5.301 5.427
angles: 90.00 90.00 96.79
Atoms (fractional coordinates):
O1 0.733 0.510 0.559
O2 0.250 0.101 0.080
O3 0.267 0.990 0.559
O4 0.267 0.490 0.441
O5 0.750 0.899 0.920
O6 0.250 0.601 0.920
O7 0.733 0.010 0.441
O8 0.750 0.399 0.080
Tb1 0.000 0.250 0.765
Tb2 0.000 0.750 0.235
Ta1 0.500 0.250 0.306
Ta2 0.500 0.750 0.694

# 12
Tb3TaO7: PBEsol geometry, meta-GGA SCAN.

Computed properties:
**Density**: 8.77 Mg/m³
**Polymorph energy (0 for the lowest one)**: 0.0 meV per atom
**Space group**: C222_1, No. 20

abc: 6.442 6.442 7.420
angles: 90.00 90.00 108.81
Atoms (fractional coordinates):
Tb1 0.999 0.537 0.240
Tb2 0.463 0.001 0.260
Tb3 0.001 0.463 0.740
Tb4 0.533 0.533 0.500
Tb5 0.537 0.999 0.760
Tb6 0.467 0.467 0.000
O1 0.692 0.949 0.045
O2 0.083 0.329 0.023
O3 0.362 0.638 0.250
O4 0.371 0.629 0.750
O5 0.069 0.931 0.250
O6 0.629 0.371 0.250
O7 0.931 0.069 0.750
O8 0.308 0.051 0.545
O9 0.949 0.692 0.955
O10 0.917 0.671 0.523
O11 0.638 0.362 0.750
O12 0.051 0.308 0.455
O13 0.671 0.917 0.477
O14 0.329 0.083 0.977
Ta1 0.001 0.001 0.500
Ta2 0.999 0.999 0.000

What did the first record say?
Ta2O5: PBEsol geometry, meta-GGA SCAN.

Computed properties:
**Density**: 7.59 Mg/m³
**Calculated total energy**: -26.50 eV/atom
**Space group**: Pmmn, No. 59

abc: 3.844 3.867 13.013
angles: 90.00 90.00 90.00
Atoms (fractional coordinates):
O1 0.500 0.001 0.815
O2 0.500 0.496 0.350
O3 0.500 0.997 0.500
O4 0.500 0.496 0.650
O5 0.000 0.999 0.685
O6 0.000 0.999 0.315
O7 0.000 0.504 0.150
O8 0.000 0.003 0.000
O9 0.000 0.504 0.850
O10 0.500 0.001 0.185
Ta1 0.000 0.011 0.854
Ta2 0.000 0.011 0.146
Ta3 0.500 0.989 0.646
Ta4 0.500 0.989 0.354